DFT (PBE+U) results for a relaxed structure of Pa2Cr4O9.

Summary:
VASP energy: -8.70 eV/atom
Space-group type: P-1 (2)

Cell: 5.7564 5.2552 15.0912 Å, 89.95 83.53 62.74°
Closest atoms and distances in Å follow each position.
Sites, in units of the cell vectors:
Cr: 0.6568 0.6440 0.3127  4 O 2.05-2.15
O: 0.6398 0.4182 0.9134  3 Cr 2.11-2.15, 1 Pa 2.20
Cr: 0.3358 0.3362 0.9809  4 O 2.04-2.14
O: 0.2594 0.7421 0.7483  1 Cr 2.05, 1 Pa 2.19
O: 0.6406 0.3864 0.6069  2 Cr 2.04-2.05, 1 Pa 2.14
O: 0.6400 0.9423 0.4134  3 Cr 2.11-2.15, 1 Pa 2.20
Pa: 0.0035 0.0317 0.8618  4 O 2.08-2.20
O: 0.9568 0.7389 0.9453  1 Pa 2.08, 1 Cr 2.10
O: 0.3583 0.0284 0.8929  2 Cr 2.04-2.05, 1 Pa 2.14
O: 0.0426 0.6964 0.5545  1 Pa 2.08, 1 Cr 2.10
O: 0.3594 0.6136 0.3931  2 Cr 2.04-2.05, 1 Pa 2.14
O: 0.9997 0.3409 0.7499  2 Cr 2.13, 2 Pa 2.34
O: 0.2597 0.9979 0.2484  1 Cr 2.05, 1 Pa 2.19
O: 0.3602 0.5818 0.0866  3 Cr 2.11-2.15, 1 Pa 2.20
Pa: 0.9963 0.0354 0.6380  4 O 2.08-2.20
O: 0.0003 0.6591 0.2501  2 Cr 2.13, 2 Pa 2.34
Pa: 0.0037 0.9646 0.3620  4 O 2.08-2.20
Pa: 0.9965 0.9683 0.1382  4 O 2.08-2.20
O: 0.6417 0.9716 0.1071  2 Cr 2.04-2.05, 1 Pa 2.14
O: 0.3600 0.0577 0.5866  3 Cr 2.11-2.15, 1 Pa 2.20
O: 0.0432 0.2611 0.0547  1 Pa 2.08, 1 Cr 2.10
Cr: 0.3435 0.2998 0.1873  4 O 2.05-2.15
Cr: 0.6642 0.6638 0.0191  4 O 2.04-2.14
Cr: 0.6565 0.7002 0.8127  4 O 2.05-2.15
O: 0.9574 0.3036 0.4455  1 Pa 2.08, 1 Cr 2.10
O: 0.7403 0.0021 0.7516  1 Cr 2.05, 1 Pa 2.19
Cr: 0.3432 0.3560 0.6873  4 O 2.05-2.15
Cr: 0.3359 0.3282 0.4810  4 O 2.04-2.14
Cr: 0.6641 0.6718 0.5190  4 O 2.04-2.14
O: 0.7406 0.2579 0.2517  1 Cr 2.05, 1 Pa 2.19